Record 1
# SrAcGePb, optimized geometry, DFT PBE
# - distance to the lowest polymorph of the same formula (eV per atom) = 0.000
# - magnetic moment (Bohr magnetons per cell) = 0.000
# - energy relative to the elements (meV per atom) = -567.3
data_SrAcGePb
_chemical_formula_sum 'Sr1 Ac1 Ge1 Pb1'
_space_group_name_H-M_alt 'P 1'
_space_group_IT_number 1
_space_group_name_Hall 'P 1'
_cell_length_a 4.412
_cell_length_b 6.614
_cell_length_c 6.614
_cell_angle_alpha 43.87
_cell_angle_beta 90.00
_cell_angle_gamma 90.00
loop_
_atom_site_label
_atom_site_fract_x
_atom_site_fract_y
_atom_site_fract_z
Sr1 0.000 0.000 0.000
Ac1 0.500 0.278 0.278
Ge1 0.000 0.728 0.728
Pb1 0.500 0.565 0.565



Record 2
# ZrGeO2, optimized geometry, DFT PBE
# - uncorrected formation energy (eV per atom) = -1.67
# - magnetic moment (Bohr magnetons per cell) = 0.000
data_ZrGeO2
_chemical_formula_sum 'Zr2 Ge2 O4'
_space_group_name_H-M_alt 'P 1'
_space_group_IT_number 1
_space_group_name_Hall 'P 1'
_cell_length_a 6.361
_cell_length_b 6.361
_cell_length_c 6.361
_cell_angle_alpha 127.68
_cell_angle_beta 127.68
_cell_angle_gamma 77.14
loop_
_atom_site_label
_atom_site_fract_x
_atom_site_fract_y
_atom_site_fract_z
Zr1 0.000 0.000 0.000
Zr2 0.750 0.250 0.500
Ge1 0.250 0.750 0.500
Ge2 0.500 0.500 0.000
O1 0.375 0.245 0.370
O2 0.755 0.125 0.130
O3 0.875 0.005 0.630
O4 0.995 0.625 0.870



Record 3
# SiOs2Cl, optimized geometry, DFT PBE
# - uncorrected formation energy (eV per atom) = 0.41
# - distance to the lowest polymorph of the same formula (eV per atom) = 0.082
# - magnetic moment (Bohr magnetons per cell) = 0.000
data_SiOs2Cl
_chemical_formula_sum 'Si1 Os2 Cl1'
_space_group_name_H-M_alt 'P 1'
_space_group_IT_number 1
_space_group_name_Hall 'P 1'
_cell_length_a 2.822
_cell_length_b 2.822
_cell_length_c 9.006
_cell_angle_alpha 90.00
_cell_angle_beta 90.00
_cell_angle_gamma 90.00
loop_
_atom_site_label
_atom_site_fract_x
_atom_site_fract_y
_atom_site_fract_z
Si1 0.000 0.000 0.000
Os1 0.000 0.000 0.603
Os2 0.500 0.500 0.792
Cl1 0.500 0.500 0.404



Record 4
# TiB2Mo, optimized geometry, DFT PBE
# - distance to the lowest polymorph of the same formula (eV per atom) = 0.774
# - magnetic moment (Bohr magnetons per cell) = 0.000
# - energy relative to the elements (meV per atom) = -46.3
data_TiB2Mo
_chemical_formula_sum 'Ti2 B4 Mo2'
_space_group_name_H-M_alt 'P 1'
_space_group_IT_number 1
_space_group_name_Hall 'P 1'
_cell_length_a 4.939
_cell_length_b 4.939
_cell_length_c 4.939
_cell_angle_alpha 106.34
_cell_angle_beta 106.34
_cell_angle_gamma 115.93
loop_
_atom_site_label
_atom_site_fract_x
_atom_site_fract_y
_atom_site_fract_z
Ti1 0.000 0.000 0.000
Ti2 0.750 0.250 0.500
B1 0.132 0.625 0.007
B2 0.375 0.382 0.507
B3 0.618 0.125 0.993
B4 0.875 0.868 0.493
Mo1 0.250 0.750 0.500
Mo2 0.500 0.500 0.000